# 1
! GaHgMo | Alexandria | PBE | relaxed; values from VASP
&SYSTEM
  ibrav = 0, nat = 6, ntyp = 3
/
ATOMIC_SPECIES
Ga 69.72 Ga.upf
Hg 200.59 Hg.upf
Mo 95.94 Mo.upf
CELL_PARAMETERS angstrom
5.3945 0.0000 0.0000
0.0000 3.9995 0.0000
-1.3634 0.0000 5.5332
ATOMIC_POSITIONS angstrom
Ga -0.0954 0.9999 2.1068
Ga 4.1265 2.9996 3.4265
Hg 1.4902 2.9996 0.3439
Hg 2.5409 0.9999 5.1893
Mo 1.4289 2.9996 3.2944
Mo 2.6022 0.9999 2.2389
! **ΔE to the lowest computed polymorph**: 0.175 eV/atom
! **Mass density**: 10189 kg/m3
! **Energy of formation**: 0.21 eV/atom
! **Energy**: -13.54 eV/f.u.

=====

# 2
! Pa4GeB3Rh12 | Alexandria | PBE | relaxed; values from VASP
&SYSTEM
  ibrav = 0, nat = 20, ntyp = 4
/
ATOMIC_SPECIES
Pa 231.04 Pa.upf
Ge 72.64 Ge.upf
B 10.81 B.upf
Rh 102.91 Rh.upf
CELL_PARAMETERS angstrom
-4.3221 4.3221 4.3221
4.3221 -4.3221 4.3221
4.3221 4.3221 -4.3221
ATOMIC_POSITIONS angstrom
Pa 2.1611 2.1611 -2.1611
Pa 2.1611 -2.1611 2.1611
Pa -2.1611 2.1611 2.1611
Pa 2.1611 2.1611 2.1611
Ge 0.0000 0.0000 0.0000
B 4.3221 0.0000 0.0000
B 0.0000 4.3221 0.0000
B 0.0000 0.0000 4.3221
Rh 2.3499 0.0000 0.0000
Rh 6.2944 0.0000 0.0000
Rh 4.3221 2.1611 0.0000
Rh 4.3221 0.0000 2.1611
Rh 0.0000 2.3499 0.0000
Rh 0.0000 0.0000 2.3499
Rh 2.1611 4.3221 0.0000
Rh 2.1611 0.0000 4.3221
Rh 0.0000 6.2944 0.0000
Rh 0.0000 0.0000 6.2944
Rh 0.0000 4.3221 2.1611
Rh 0.0000 2.1611 4.3221
! **Mass density**: 11641 kg/m3
! **Energy of formation**: -0.59 eV/atom
! **Energy**: -162.66 eV/f.u.

=====

# 3
! LaSmHoAl | Alexandria | PBE | relaxed; values from VASP
&SYSTEM
  ibrav = 0, nat = 4, ntyp = 4
/
ATOMIC_SPECIES
La 138.91 La.upf
Sm 150.36 Sm.upf
Ho 164.93 Ho.upf
Al 26.98 Al.upf
CELL_PARAMETERS angstrom
3.5618 0.0000 0.0000
0.0000 3.5618 0.0000
0.0000 0.0000 9.2798
ATOMIC_POSITIONS angstrom
La 0.0000 0.0000 0.0000
Sm 1.7809 1.7809 6.4927
Ho 1.7809 1.7809 2.6583
Al 0.0000 0.0000 4.5185
! **ΔE to the lowest computed polymorph**: 0.000 eV/atom
! **Mass density**: 6787 kg/m3
! **Energy of formation**: -0.18 eV/atom
! **Energy**: -18.67 eV/f.u.

=====

# 4
! KPdBr | Alexandria | PBE | relaxed; values from VASP
&SYSTEM
  ibrav = 0, nat = 6, ntyp = 3
/
ATOMIC_SPECIES
K 39.10 K.upf
Pd 106.42 Pd.upf
Br 79.90 Br.upf
CELL_PARAMETERS angstrom
4.7536 0.0000 0.0000
1.8980 4.3658 0.0000
1.8311 1.6955 9.1384
ATOMIC_POSITIONS angstrom
K 0.0000 0.0000 0.0000
K 2.0347 1.3245 3.7378
Pd 3.3228 3.9718 6.5282
Pd 3.9309 1.2546 6.5121
Br 4.3413 2.8455 1.8857
Br 5.6502 3.1583 6.3049
! **ΔE to the lowest computed polymorph**: 0.009 eV/atom
! **Mass density**: 3948 kg/m3
! **Energy**: -10.07 eV/f.u.

=====

# 5
! Ca2CdSiRh | Alexandria | PBE | relaxed; values from VASP
&SYSTEM
  ibrav = 0, nat = 5, ntyp = 4
/
ATOMIC_SPECIES
Ca 40.08 Ca.upf
Cd 112.41 Cd.upf
Si 28.09 Si.upf
Rh 102.91 Rh.upf
CELL_PARAMETERS angstrom
5.5064 0.0000 0.0000
0.0000 5.5064 0.0000
0.0000 0.0000 4.5552
ATOMIC_POSITIONS angstrom
Ca 0.0000 2.7532 0.0000
Ca 2.7532 0.0000 0.0000
Cd 0.0000 0.0000 2.2776
Si 2.7532 2.7532 2.2776
Rh 2.7532 2.7532 0.0000
! **Mass density**: 3890 kg/m3
! **Energy**: -19.46 eV/f.u.

=====

# 6
! Er3MgPb3 | Alexandria | PBE | relaxed; values from VASP
&SYSTEM
  ibrav = 0, nat = 14, ntyp = 3
/
ATOMIC_SPECIES
Er 167.26 Er.upf
Mg 24.30 Mg.upf
Pb 207.20 Pb.upf
CELL_PARAMETERS angstrom
9.2680 0.0000 0.0000
-4.6340 8.0264 0.0000
0.0000 0.0000 6.1767
ATOMIC_POSITIONS angstrom
Er -1.2827 2.8438 1.5442
Er -1.5299 7.7153 1.5442
Er 1.8214 2.5327 4.6325
Er 2.8126 5.4936 1.5442
Er 6.1639 0.3110 4.6325
Er 5.9167 5.1826 4.6325
Mg 0.0000 5.3509 4.6325
Mg 4.6340 2.6754 1.5442
Pb -1.3110 2.7605 4.6325
Pb -1.5878 7.7815 4.6325
Pb 1.7352 2.5156 1.5442
Pb 2.8988 5.5107 4.6325
Pb 6.2218 0.2449 1.5442
Pb 5.9450 5.2658 1.5442
! **Mass density**: 8295 kg/m3
! **Energy of formation**: -0.19 eV/atom
! **Energy**: -27.72 eV/f.u.